The following is a DFT calculation (SCAN) of SrBeRh at its PBEsol-relaxed geometry.

ΔE to the lowest computed polymorph = 1527 meV per atom

Cell and atoms, written as POSCAR:
```
SrBeRh
1.0
0.000 3.243 3.243
3.243 0.000 3.243
3.243 3.243 0.000
Sr Be Rh
1 1 1
direct
0.000 0.000 0.000
0.250 0.250 0.250
0.750 0.750 0.750
```

=====

The following is a DFT calculation (SCAN) of SrBeRh at its PBEsol-relaxed geometry.

ΔE to the lowest computed polymorph = 88 meV per atom

Cell and atoms, written as POSCAR:
```
SrBeRh
1.0
-1.581 1.581 5.303
1.581 -1.581 5.303
1.581 1.581 -5.303
Sr Be Rh
1 1 1
direct
0.000 0.000 0.000
0.275 0.275 0.000
0.723 0.723 0.000
```

=====

The following is a DFT calculation (SCAN) of SrBeRh at its PBEsol-relaxed geometry.

ΔE to the lowest computed polymorph = 0 meV per atom

Cell and atoms, written as POSCAR:
```
SrBeRh
1.0
3.871 0.000 0.000
-1.935 3.352 0.000
0.000 0.000 4.522
Sr Be Rh
1 1 1
direct
0.000 0.000 0.000
0.333 0.667 0.500
0.667 0.333 0.500
```

=====

The following is a DFT calculation (SCAN) of Sr2BeRh at its PBEsol-relaxed geometry.

Cell and atoms, written as POSCAR:
```
Sr2BeRh
1.0
-1.928 2.210 6.510
1.928 -2.210 6.510
1.928 2.210 -6.510
Sr Be Rh
2 1 1
direct
0.000 0.000 0.000
0.745 0.245 0.500
0.330 0.830 0.500
0.404 0.404 0.000
```

=====

How do the records compare in E_form? In the order shown, they have 1.21 -0.23 -0.32 -0.15 eV/atom.
How do the records compare in energy? In the order shown, they have -56.775 -61.094 -61.357 -83.281 eV/f.u..